AcSmV2O8: optimized geometry, PBE+U.

Density = 5377 kg/m³
VASP energy = -8.004 eV per atom

Lattice parameters (Å, degrees): 6.269 6.269 6.269 106.11 106.11 116.42
Fractional coordinates of all 12 atoms:
O  0.770  0.087  0.683
Sm  0.000  0.000  0.000
O  0.913  0.596  0.683
O  0.326  0.499  0.173
O  0.404  0.087  0.317
V  0.500  0.500  0.000
O  0.326  0.152  0.827
V  0.750  0.250  0.500
O  0.848  0.674  0.173
O  0.501  0.674  0.827
Ac  0.250  0.750  0.500
O  0.913  0.230  0.317


Ac2SmWO8: optimized geometry, PBE+U.

Density = 8166 kg/m³
VASP energy = -7.674 eV per atom

Lattice parameters (Å, degrees): 4.523 5.643 7.327 90.00 90.00 95.00
Fractional coordinates of all 12 atoms:
O  0.602  0.838  0.000
Ac  0.500  0.500  0.756
Ac  0.500  0.500  0.244
O  0.066  0.776  0.799
O  0.430  0.246  0.500
O  0.570  0.754  0.500
O  0.934  0.224  0.201
Sm  0.000  0.000  0.500
O  0.398  0.162  0.000
O  0.934  0.224  0.799
W  0.000  0.000  0.000
O  0.066  0.776  0.201


- Among the records above, which one has the lowest density?
  AcSmV2O8


- density of number 1 (AcSmV2O8)?
  5377 kg/m³